Density functional theory data (GGA-PBE) for a relaxed structure of Nd4BNCl2.

```
Nd4BNCl2
1.0
6.528 0.000 0.000
0.000 3.836 0.000
-2.267 0.000 7.152
Nd B N Cl
4 1 1 2
direct
0.225 0.000 0.191
0.257 0.500 0.803
0.743 0.500 0.197
0.775 0.000 0.809
0.500 0.000 0.000
0.000 0.500 0.000
0.000 0.000 0.500
0.500 0.500 0.500
```

formation energy without anion corrections: -1218 meV/atom
space group: P2/m, No. 10